# TlAu2F8 | Alexandria | PBE | relaxed
data_TlAu2F8
_chemical_formula_sum 'Tl4 Au8 F32'
_cell_length_a 9.035
_cell_length_b 10.345
_cell_length_c 9.252
_cell_angle_alpha 90.00
_cell_angle_beta 101.16
_cell_angle_gamma 90.00
_space_group_name_H-M_alt 'C 1 2/c 1'
_space_group_IT_number 15
_space_group_name_Hall '-C 2yc'
loop_
_atom_site_label
_atom_site_type_symbol
_atom_site_fract_x
_atom_site_fract_y
_atom_site_fract_z
_atom_site_occupancy
Tl1 Tl 0.000 0.191 0.250 1
Au1 Au 0.197 0.069 0.586 1
F1 F 0.084 0.003 0.386 1
F2 F 0.104 0.241 0.490 1
F3 F 0.163 0.359 0.231 1
F4 F 0.221 0.113 0.172 1
# - polymorph energy (0 for the lowest one) (meV per atom) = 0.0
# - crystal system = monoclinic
# - formation energy without anion corrections (eV/atom) = -1.193
# - size of the total moment (μB per formula unit) = 1.0